# 1
# MgTi2F8

Crystalline MgTi2F8 at its relaxed geometry (PBE, Alexandria via LeMat-Bulk).

Cell lengths 8.3973, 6.5080, 4.9910 Å; angles 90.00, 105.17, 90.00 degrees
Last column: nearest neighbours and their distance in Å.
Space group C2/m (No. 12)
Inequivalent atoms, fractional coordinates:
Mg (0.0000, 0.0000, 0.0000) (multiplicity 2)  6 F 1.93-2.07
Ti (0.1835, 0.5000, 0.4407) (multiplicity 4)  7 F 1.94-2.12
F (0.0589, 0.5000, 0.7447) (multiplicity 4)  2 Ti 2.00-2.06
F (0.1473, 0.1946, 0.2910) (multiplicity 8)  1 Mg 2.07, 2 Ti 2.10-2.12
F (0.1596, 0.0000, 0.7836) (multiplicity 4)  1 Mg 1.93, 1 Ti 1.94

Summary:
**Formation energy from raw total energies**: -3287 meV/atom
**N(E_F)**: 20.5 states/eV/cell
**Density**: 3432 kg/m3


# 2
# Si2SbCl

Crystalline Si2SbCl at its relaxed geometry (PBE, Alexandria via LeMat-Bulk).

Cell lengths 4.1386, 4.8613, 5.0235 Å; angles 90.00, 111.15, 90.00 degrees
Last column: nearest neighbours and their distance in Å.
Space group P2/m (No. 10)
Inequivalent atoms, fractional coordinates:
Si (0.1949, 0.0000, 0.3294) (multiplicity 2)  2 Si 2.49-2.74
Sb (0.0000, 0.5000, 0.5000) (multiplicity 1)  2 Cl 2.62, 4 Si 2.79
Cl (0.5000, 0.5000, 0.0000) (multiplicity 1)  2 Sb 2.62

Summary:
**Formation energy from raw total energies**: 305 meV/atom
**N(E_F)**: 1.4 states/eV/cell
**Density**: 3759 kg/m3


# 3
# BaAgWS4

Crystalline BaAgWS4 at its relaxed geometry (PBE, Alexandria via LeMat-Bulk).

Cell lengths 7.1412, 7.1412, 9.1528 Å; angles 90.00, 90.00, 90.00 degrees
Last column: nearest neighbours and their distance in Å.
Space group I-4 (No. 82)
Inequivalent atoms, fractional coordinates:
Ba (0.0000, 0.0000, 0.0000) (multiplicity 2)  4 S 3.12
Ag (0.0000, 0.0000, 0.5000) (multiplicity 2)  4 S 2.55
W (0.0000, 0.5000, 0.2500) (multiplicity 2)  4 S 2.24
S (0.1548, 0.7181, 0.3786) (multiplicity 8)  1 W 2.24

Summary:
**Formation energy from raw total energies**: -739 meV/atom
**N(E_F)**: 7.4 states/eV/cell
**Density**: 3965 kg/m3


# 4
# AlPPd3

Crystalline AlPPd3 at its relaxed geometry (PBE, Alexandria via LeMat-Bulk).

Cell lengths 4.5388, 4.5388, 4.5388 Å; angles 90.00, 90.00, 90.00 degrees
Last column: nearest neighbours and their distance in Å.
Space group Pm-3m (No. 221)
Inequivalent atoms, fractional coordinates:
Al (0.0000, 0.0000, 0.0000) (multiplicity 1)  6 Pd 2.27
P (0.5000, 0.5000, 0.5000) (multiplicity 1)  12 Pd 3.21
Pd (0.0000, 0.0000, 0.5000) (multiplicity 3)  2 Al 2.27

Summary:
**Energy of formation**: 2.0 eV per formula unit
**N(E_F)**: 2.4 states/eV/cell
**Density**: 6699 kg/m3


# 5
# Tb3Y2Mg

Crystalline Tb3Y2Mg at its relaxed geometry (PBE, Alexandria via LeMat-Bulk).

Cell lengths 17.3814, 6.2067, 6.9593 Å; angles 90.00, 90.00, 90.00 degrees
Last column: nearest neighbours and their distance in Å.
Space group Cmcm (No. 63)
Inequivalent atoms, fractional coordinates:
Tb (0.0000, 0.1956, 0.2500) (multiplicity 4)  2 Mg 3.05-3.15
Tb (0.1403, 0.5000, 0.0000) (multiplicity 8)  2 Mg 3.25, 4 Tb 3.48-3.54, 4 Y 3.50-3.60
Y (0.1851, 0.0076, 0.7500) (multiplicity 8)  7 Tb 3.46-3.68, 4 Y 3.48-3.84, 1 Mg 3.68
Mg (0.0000, 0.2963, 0.7500) (multiplicity 4)  6 Tb 3.05-3.25

Summary:
**Energy of formation**: 0.4 eV per formula unit
**N(E_F)**: 26.6 states/eV/cell
**Density**: 6006 kg/m3


# 6
# CrAu3N

Crystalline CrAu3N at its relaxed geometry (PBE, Alexandria via LeMat-Bulk).

Cell lengths 4.4129, 4.4129, 4.4129 Å; angles 90.00, 90.00, 90.00 degrees
Last column: nearest neighbours and their distance in Å.
Space group Pm-3m (No. 221)
Inequivalent atoms, fractional coordinates:
Cr (0.0000, 0.0000, 0.0000) (multiplicity 1)  12 Au 3.12
Au (0.0000, 0.5000, 0.5000) (multiplicity 3)  2 N 2.21
N (0.5000, 0.5000, 0.5000) (multiplicity 1)  6 Au 2.21

Summary:
**Formation energy from raw total energies**: 856 meV/atom
**N(E_F)**: 1.6 states/eV/cell
**Density**: 12694 kg/m3


# 7
# KSr2NdCl8

Crystalline KSr2NdCl8 at its relaxed geometry (PBE, Alexandria via LeMat-Bulk).

Cell lengths 6.6199, 9.0761, 6.8477 Å; angles 90.00, 90.08, 90.00 degrees
Last column: nearest neighbours and their distance in Å.
Space group P2/m (No. 10)
Inequivalent atoms, fractional coordinates:
K (0.0000, 0.0000, 0.0000) (multiplicity 1)  6 Cl 3.04-3.18
Sr (0.5000, 0.2465, 0.5000) (multiplicity 2)  6 Cl 2.86-3.03
Nd (0.0000, 0.5000, 0.0000) (multiplicity 1)  6 Cl 2.74-2.82
Cl (0.2270, 0.2813, 0.8330) (multiplicity 4)  1 Nd 2.74, 1 Sr 2.93
Cl (0.2665, 0.5000, 0.3211) (multiplicity 2)  1 Nd 2.82, 2 Sr 3.03
Cl (0.2755, 0.0000, 0.3555) (multiplicity 2)  2 Sr 2.86, 1 K 3.04

Summary:
**Formation energy from raw total energies**: -2313 meV/atom
**N(E_F)**: 0.0 states/eV/cell
**Density**: 2592 kg/m3


# 8
# Li5Cl4F

Crystalline Li5Cl4F at its relaxed geometry (PBE, Alexandria via LeMat-Bulk).

Cell lengths 3.5457, 3.5457, 25.2569 Å; angles 90.00, 90.00, 90.00 degrees
Last column: nearest neighbours and their distance in Å.
Space group I4/mmm (No. 139)
Inequivalent atoms, fractional coordinates:
Li (0.0000, 0.0000, 0.0000) (multiplicity 2)  2 Cl 2.30, 4 F 2.51
Li (0.0000, 0.0000, 0.2019) (multiplicity 4)  6 Cl 2.51-2.80
Li (0.0000, 0.0000, 0.4220) (multiplicity 4)  1 F 1.97
Cl (0.0000, 0.0000, 0.0909) (multiplicity 4)  5 Li 2.30-2.53
Cl (0.0000, 0.0000, 0.3028) (multiplicity 4)  5 Li 2.51-2.55
F (0.0000, 0.0000, 0.5000) (multiplicity 2)  2 Li 1.97

Summary:
**Formation energy from raw total energies**: -1982 meV/atom
**N(E_F)**: 0.0 states/eV/cell
**Density**: 2045 kg/m3


Among the records above, which one has the highest N(E_F)?
Tb3Y2Mg